5
Lattice="4.090 0.000 0.000 0.000 4.090 0.000 0.000 0.000 4.090" Properties=species:S:1:pos:R:3 comment="Be3CuSe (SCAN, single point on PBEsol structure)" total_energy_ev_per_atom=-9.000 pbc="T T T"
Be 0.000 0.000 2.045
Se 2.045 2.045 2.045
Cu 0.000 0.000 0.000
Be 2.045 0.000 0.000
Be 0.000 2.045 0.000